Record 1
# NbTl2Hg, relaxed, DFT GGA-PBE
# **Electronic total energy**: -3.11 eV/atom
data_NbTl2Hg
_chemical_formula_sum 'Nb1 Tl2 Hg1'
_symmetry_space_group_name_H-M 'P 1'
_symmetry_Int_Tables_number 1
_cell_length_a 5.143
_cell_length_b 5.143
_cell_length_c 5.143
_cell_angle_alpha 60.00
_cell_angle_beta 60.00
_cell_angle_gamma 60.00
loop_
_symmetry_equiv_pos_as_xyz
'x,y,z'
loop_
_atom_site_label
_atom_site_fract_x
_atom_site_fract_y
_atom_site_fract_z
Tl1 0.000 0.000 0.000
Tl2 0.250 0.250 0.250
Hg1 0.500 0.500 0.500
Nb1 0.750 0.750 0.750

Record 2
# Sr2Os, relaxed, DFT GGA-PBE
# **Electronic total energy**: -3.06 eV/atom
data_Sr2Os
_chemical_formula_sum 'Sr4 Os2'
_symmetry_space_group_name_H-M 'P 1'
_symmetry_Int_Tables_number 1
_cell_length_a 6.182
_cell_length_b 6.182
_cell_length_c 6.182
_cell_angle_alpha 60.00
_cell_angle_beta 60.00
_cell_angle_gamma 60.00
loop_
_symmetry_equiv_pos_as_xyz
'x,y,z'
loop_
_atom_site_label
_atom_site_fract_x
_atom_site_fract_y
_atom_site_fract_z
Sr1 0.625 0.625 0.125
Sr2 0.625 0.125 0.625
Sr3 0.125 0.625 0.625
Sr4 0.625 0.625 0.625
Os1 0.250 0.250 0.250
Os2 0.000 0.000 0.000

Record 3
# PrLuGa, relaxed, DFT GGA-PBE
# **Excess energy over the best structure of this formula in the dataset**: 0.00 eV/f.u.
# **Electronic total energy**: -4.33 eV/atom
data_PrLuGa
_chemical_formula_sum 'Pr1 Lu1 Ga1'
_symmetry_space_group_name_H-M 'P 1'
_symmetry_Int_Tables_number 1
_cell_length_a 5.008
_cell_length_b 5.008
_cell_length_c 5.008
_cell_angle_alpha 60.00
_cell_angle_beta 60.00
_cell_angle_gamma 60.00
loop_
_symmetry_equiv_pos_as_xyz
'x,y,z'
loop_
_atom_site_label
_atom_site_fract_x
_atom_site_fract_y
_atom_site_fract_z
Ga1 0.000 0.000 0.000
Pr1 0.750 0.750 0.750
Lu1 0.250 0.250 0.250